1.
An optimized crystal structure of Ba3NpAu2Se6, computed with PBE.

The calculation puts the formation energy (no corrections) at -12.4 eV per formula unit. Its total magnetic moment is 0.241 μB/atom.

The structure belongs to space group P-3m1 (No. 164); the cell edges are 7.5543, 7.5543 and 8.0064 Å and the angles 90.00°, 90.00° and 120.00°. The inequivalent atoms are Ba at (0.0000, 0.0000, 0.0000), Ba at (0.3333, 0.6667, 0.6353), Np at (0.0000, 0.0000, 0.5000), Au at (0.3333, 0.6667, 0.1039) and Se at (0.1690, 0.3381, 0.3003).

=====

2.
An optimized crystal structure of CrPt2Se, computed with PBE.

The calculation puts the formation energy (no corrections) at 0.0 eV per formula unit. Its total magnetic moment is 0.757 μB/atom.

The structure belongs to space group C2/m (No. 12); the cell edges are 9.482, 3.319 and 4.220 Å and the angles 90.00°, 96.19° and 90.00°. The inequivalent atoms are Cr at (0.000, 0.000, 0.000), Pt at (0.226, 0.500, 0.237) and Se at (0.000, 0.500, 0.500).